No. 1
PBE In2GaPb2, relaxed; E = -30.30 eV per cell; Fermi-level density of states = 0.485 states/eV/atom; formation enthalpy at 0 K = 0.154 eV/atom
1.0
9.0369 0.0000 0.0000
0.0000 9.0369 0.0000
0.0000 0.0000 3.6334
Pb In Ga
4 4 2
Direct
0.1632 0.6632 0.5000 Pb
0.8368 0.3368 0.5000 Pb
0.3368 0.1632 0.5000 Pb
0.6632 0.8368 0.5000 Pb
0.3648 0.8648 0.0000 In
0.1352 0.3648 0.0000 In
0.6352 0.1352 0.0000 In
0.8648 0.6352 0.0000 In
0.0000 0.0000 0.0000 Ga
0.5000 0.5000 0.0000 Ga


No. 2
PBE In3Ga3Pb, relaxed; E = -36.21 eV per cell; Fermi-level density of states = 1.150 states/eV/atom; formation enthalpy at 0 K = 0.414 eV/atom
1.0
7.6475 0.0000 0.0000
0.0000 7.6475 0.0000
0.0000 0.0000 7.6475
In Pb Ga
6 2 6
Direct
0.0000 0.5000 0.2500 In
0.7500 0.0000 0.5000 In
0.2500 0.0000 0.5000 In
0.5000 0.2500 0.0000 In
0.5000 0.7500 0.0000 In
0.0000 0.5000 0.7500 In
0.0000 0.0000 0.0000 Pb
0.5000 0.5000 0.5000 Pb
0.0000 0.7500 0.5000 Ga
0.7500 0.5000 0.0000 Ga
0.0000 0.2500 0.5000 Ga
0.5000 0.0000 0.2500 Ga
0.2500 0.5000 0.0000 Ga
0.5000 0.0000 0.7500 Ga


No. 3
PBE In12Ga7Pb, relaxed; E = -56.90 eV per cell; Fermi-level density of states = 0.434 states/eV/atom; formation enthalpy at 0 K = 0.043 eV/atom
1.0
7.9370 0.0001 2.5384
-3.9093 7.1852 3.1052
0.1184 0.0001 8.7486
Ga In Pb
7 12 1
Direct
0.5471 0.7043 0.1702 Ga
0.8428 0.1255 0.7043 Ga
0.2827 0.8298 0.8745 Ga
0.7173 0.1702 0.1255 Ga
0.5000 0.0000 0.0000 Ga
0.4529 0.2957 0.8298 Ga
0.1572 0.8745 0.2957 Ga
0.4167 0.7997 0.4903 In
0.8333 0.5631 0.0697 In
0.3830 0.2900 0.2003 In
0.6170 0.7100 0.7997 In
0.0970 0.9303 0.6329 In
0.0930 0.5097 0.2900 In
0.2701 0.3671 0.5631 In
0.1667 0.4369 0.9303 In
0.7299 0.6329 0.4369 In
0.9030 0.0697 0.3671 In
0.5833 0.2003 0.5097 In
0.9070 0.4903 0.7100 In
0.0000 0.0000 0.0000 Pb


No. 4
PBE In6Ga2Pb, relaxed; E = -25.68 eV per cell; Fermi-level density of states = 0.448 states/eV/atom; formation enthalpy at 0 K = 0.057 eV/atom
1.0
5.8019 0.4249 1.0182
2.8956 4.8054 1.9414
0.2266 -0.0938 8.9716
In Pb Ga
6 1 2
Direct
0.8272 0.1738 0.8434 In
0.1728 0.4828 0.8434 In
0.8272 0.5172 0.1566 In
0.6712 0.6754 0.5000 In
0.1728 0.8262 0.1566 In
0.3288 0.3246 0.5000 In
0.0000 0.0000 0.5000 Pb
0.5000 0.1650 0.1699 Ga
0.5000 0.8350 0.8301 Ga


No. 5
PBE InGa2Pb6, relaxed; E = -30.43 eV per cell; Fermi-level density of states = 0.481 states/eV/atom; formation enthalpy at 0 K = 0.068 eV/atom
1.0
-3.1801 -2.3798 4.0313
2.1435 -5.2268 2.5778
2.2735 3.3084 7.7190
Pb In Ga
6 1 2
Direct
0.3227 0.2073 0.1473 Pb
0.9983 0.8335 0.1699 Pb
0.0017 0.1665 0.8301 Pb
0.6773 0.7927 0.8527 Pb
0.3531 0.8192 0.4746 Pb
0.6469 0.1808 0.5254 Pb
0.0000 0.5000 0.5000 In
0.3228 0.5253 0.8290 Ga
0.6772 0.4747 0.1710 Ga


No. 6
PBE InGa2Pb2, relaxed; E = -15.89 eV per cell; Fermi-level density of states = 0.387 states/eV/atom; formation enthalpy at 0 K = 0.064 eV/atom
1.0
-0.8579 3.3295 2.7960
-5.9287 1.1235 0.3880
-2.7579 -1.9465 5.0166
Ga Pb In
2 2 1
Direct
0.0000 0.2052 0.2947 Ga
0.0000 0.7948 0.7053 Ga
0.7184 0.7862 0.2862 Pb
0.2816 0.2138 0.7138 Pb
0.5000 0.5000 0.0000 In


No. 7
PBE In3Ga2Pb3, relaxed; E = -25.10 eV per cell; Fermi-level density of states = 0.400 states/eV/atom; formation enthalpy at 0 K = 0.036 eV/atom
1.0
4.7086 0.0000 -1.6527
-0.5949 4.7732 -1.6948
0.5703 0.6098 9.1588
Ga Pb In
2 3 3
Direct
0.7504 0.7547 0.5009 Ga
0.2496 0.2453 0.4991 Ga
0.6374 0.1410 0.2748 Pb
0.5000 0.5000 0.0000 Pb
0.3626 0.8590 0.7252 Pb
0.1381 0.6371 0.2762 In
0.8619 0.3629 0.7238 In
0.0000 0.0000 0.0000 In


No. 8
PBE In6Ga2Pb3, relaxed; E = -32.82 eV per cell; Fermi-level density of states = 0.457 states/eV/atom; formation enthalpy at 0 K = 0.072 eV/atom
1.0
-2.8011 -3.8491 0.2781
3.4661 -3.1101 -1.0262
2.4892 2.8931 13.6007
In Ga Pb
6 2 3
Direct
0.1801 0.1801 0.6010 In
0.8199 0.8199 0.3990 In
0.7051 0.2071 0.2145 In
0.2949 0.7929 0.7855 In
0.2071 0.7051 0.2145 In
0.7929 0.2949 0.7855 In
0.3697 0.3697 0.9159 Ga
0.6303 0.6303 0.0841 Ga
0.3090 0.3090 0.3926 Pb
0.0000 0.0000 0.0000 Pb
0.6910 0.6910 0.6074 Pb


Repeat the sixth record exactly.
PBE InGa2Pb2, relaxed; E = -15.89 eV per cell; Fermi-level density of states = 0.387 states/eV/atom; formation enthalpy at 0 K = 0.064 eV/atom
1.0
-0.8579 3.3295 2.7960
-5.9287 1.1235 0.3880
-2.7579 -1.9465 5.0166
Ga Pb In
2 2 1
Direct
0.0000 0.2052 0.2947 Ga
0.0000 0.7948 0.7053 Ga
0.7184 0.7862 0.2862 Pb
0.2816 0.2138 0.7138 Pb
0.5000 0.5000 0.0000 In